First-principles (GGA-PBE) data for a relaxed LaSmAs crystal, as listed in Alexandria.

Cell: 12.7004 12.7004 12.0280 Å, 90.00 90.00 120.00°
Space group R-3 (No. 148, hexagonal axes)
One atom of each set of equivalent atoms:
La (0.0614, 0.8624, 0.3803) x18
Sm (0.0276, 0.8254, 0.8921) x18
As (0.0421, 0.7676, 0.1419) x18

Results
- Electronic total energy: -5.61 eV per atom
- Density of states at the Fermi level: 55.66 states/eV per cell
- Crystal system: trigonal

First-principles (GGA-PBE) data for a relaxed Co2RuPt crystal, as listed in Alexandria.

Cell: 2.666 3.697 5.267 Å, 90.00 90.00 90.00°
Space group Pmm2 (No. 25)
One atom of each set of equivalent atoms:
Co (0.000, 0.000, 0.000) x1
Co (0.500, 0.500, 0.232) x1
Ru (0.500, 0.500, 0.768) x1
Pt (0.000, 0.000, 0.489) x1

Results
- Electronic total energy: -7.30 eV per atom
- Energy relative to the lowest polymorph listed for this composition: 16 meV/atom
- Density of states at the Fermi level: 6.32 states/eV per cell
- Crystal system: orthorhombic

First-principles (GGA-PBE) data for a relaxed SmDy2PuBi4 crystal, as listed in Alexandria.

Cell: 7.815 4.517 7.820 Å, 90.00 109.43 90.00°
Space group P2/m (No. 10)
One atom of each set of equivalent atoms:
Sm (0.000, 0.000, 0.000) x1
Dy (0.500, 0.000, 0.500) x1
Dy (0.500, 0.500, 0.000) x1
Pu (0.000, 0.500, 0.500) x1
Bi (0.254, 0.000, 0.750) x2
Bi (0.255, 0.500, 0.253) x2

Results
- Electronic total energy: -6.21 eV per atom
- Density of states at the Fermi level: 17.87 states/eV per cell
- Crystal system: monoclinic

Number 1: formation energy from the elements -0.846 eV per atom. Number 2: formation energy from the elements 0.081 eV per atom. Number 3: formation energy from the elements -0.737 eV per atom.